1.
VASP calculation (GGA-PBE) on a relaxed PmSmAg3 crystal.

Unit cell a=8.080 b=8.696 c=8.696 alpha=54.44 beta=90.00 gamma=90.00
Sites, in units of the cell vectors:
Pm  0.750  0.422  0.029
Pm  0.750  0.971  0.578
Pm  0.250  0.578  0.971
Pm  0.250  0.029  0.422
Sm  0.250  0.892  0.108
Sm  0.750  0.108  0.892
Sm  0.250  0.434  0.566
Sm  0.750  0.566  0.434
Ag  0.428  0.271  0.950
Ag  0.072  0.050  0.729
Ag  0.572  0.729  0.050
Ag  0.928  0.950  0.271
Ag  0.928  0.729  0.050
Ag  0.572  0.950  0.271
Ag  0.072  0.271  0.950
Ag  0.428  0.050  0.729
Ag  0.500  0.345  0.345
Ag  0.000  0.655  0.655
Ag  0.500  0.655  0.655
Ag  0.000  0.345  0.345

Results
Its energy relative to the lowest polymorph listed for this composition is 0.212 eV/f.u. The total magnetization comes out at 0.0 Bohr magnetons per cell. Its mass density is 8.27 g/cm³. The calculation puts the total energy at -3.81 eV/atom.

2.
VASP calculation (GGA-PBE) on a relaxed Pm2SmAg crystal.

Unit cell a=3.644 b=3.644 c=10.916 alpha=80.39 beta=80.39 gamma=60.00
Sites, in units of the cell vectors:
Ag  0.000  0.000  0.000
Sm  0.500  0.500  0.500
Pm  0.259  0.259  0.224
Pm  0.741  0.741  0.776

Results
Its energy relative to the lowest polymorph listed for this composition is 0.419 eV/f.u. The total magnetization comes out at 0.0 Bohr magnetons per cell. Its mass density is 7.39 g/cm³. The calculation puts the total energy at -4.28 eV/atom.

3.
VASP calculation (GGA-PBE) on a relaxed Pm2Sm6Ag crystal.

Unit cell a=3.548 b=9.580 c=9.988 alpha=118.66 beta=90.38 gamma=90.00
Sites, in units of the cell vectors:
Pm  0.493  0.676  0.352
Pm  0.507  0.324  0.648
Sm  0.000  0.335  0.326
Sm  0.000  0.009  0.674
Sm  0.000  0.665  0.674
Sm  0.500  0.284  0.000
Sm  0.000  0.991  0.326
Sm  0.500  0.716  0.000
Ag  0.000  0.000  0.000

Results
The total magnetization comes out at 0.0 Bohr magnetons per cell. Its mass density is 7.25 g/cm³. The calculation puts the total energy at -4.41 eV/atom.

4.
VASP calculation (GGA-PBE) on a relaxed PmSm2Ag4 crystal.

Unit cell a=5.428 b=5.428 c=7.474 alpha=111.29 beta=111.29 gamma=90.00
Sites, in units of the cell vectors:
Ag  0.380  0.880  0.760
Ag  0.880  0.380  0.760
Ag  0.620  0.120  0.240
Ag  0.120  0.620  0.240
Sm  0.723  0.723  0.445
Sm  0.277  0.277  0.555
Pm  0.000  0.000  0.000

Results
The total magnetization comes out at 0.0 Bohr magnetons per cell. Its mass density is 7.71 g/cm³. The calculation puts the total energy at -3.75 eV/atom.

5.
VASP calculation (GGA-PBE) on a relaxed Pm2SmAg3 crystal.

Unit cell a=3.713 b=3.713 c=11.241 alpha=90.00 beta=90.00 gamma=90.00
Sites, in units of the cell vectors:
Pm  0.500  0.500  0.833
Pm  0.500  0.500  0.167
Sm  0.500  0.500  0.500
Ag  0.000  0.000  0.000
Ag  0.000  0.000  0.665
Ag  0.000  0.000  0.335

Results
The total magnetization comes out at 0.0 Bohr magnetons per cell. Its mass density is 8.19 g/cm³. The calculation puts the total energy at -4.07 eV/atom.

6.
VASP calculation (GGA-PBE) on a relaxed PmSm6Ag crystal.

Unit cell a=8.586 b=9.512 c=6.407 alpha=42.06 beta=47.89 gamma=56.31
Sites, in units of the cell vectors:
Pm  0.500  0.500  0.500
Sm  0.953  0.570  0.714
Sm  0.763  0.954  0.854
Sm  0.570  0.237  0.240
Sm  0.237  0.046  0.146
Sm  0.047  0.430  0.286
Sm  0.430  0.763  0.760
Ag  0.000  0.000  0.000

Results
The total magnetization comes out at 0.0 Bohr magnetons per cell. Its mass density is 7.42 g/cm³. The calculation puts the total energy at -4.45 eV/atom.

7.
VASP calculation (GGA-PBE) on a relaxed Pm2Sm5Ag4 crystal.

Unit cell a=3.443 b=7.987 c=11.852 alpha=84.48 beta=98.35 gamma=90.00
Sites, in units of the cell vectors:
Pm  0.923  0.678  0.846
Pm  0.077  0.322  0.154
Sm  0.155  0.925  0.309
Sm  0.845  0.075  0.691
Sm  0.225  0.302  0.449
Sm  0.500  0.000  0.000
Sm  0.775  0.698  0.551
Ag  0.651  0.579  0.303
Ag  0.054  0.701  0.109
Ag  0.349  0.421  0.697
Ag  0.946  0.299  0.891

Results
The total magnetization comes out at 0.0 Bohr magnetons per cell. Its mass density is 7.62 g/cm³. The calculation puts the total energy at -4.00 eV/atom.

8.
VASP calculation (GGA-PBE) on a relaxed Pm3Sm5Ag2 crystal.

Unit cell a=6.673 b=10.624 c=10.624 alpha=66.16 beta=71.70 gamma=71.70
Sites, in units of the cell vectors:
Pm  0.250  0.000  0.000
Pm  0.750  0.000  0.000
Pm  0.333  0.384  0.951
Pm  0.667  0.616  0.049
Pm  0.833  0.951  0.384
Pm  0.167  0.049  0.616
Sm  0.250  0.500  0.500
Sm  0.750  0.500  0.500
Sm  0.557  0.693  0.693
Sm  0.943  0.307  0.307
Sm  0.443  0.307  0.307
Sm  0.057  0.693  0.693
Sm  0.061  0.671  0.206
Sm  0.939  0.329  0.794
Sm  0.561  0.206  0.671
Sm  0.439  0.794  0.329
Ag  0.163  0.774  0.899
Ag  0.837  0.226  0.101
Ag  0.663  0.899  0.774
Ag  0.337  0.101  0.226

Results
The total magnetization comes out at 0.0 Bohr magnetons per cell. Its mass density is 7.29 g/cm³. The calculation puts the total energy at -4.25 eV/atom.

no.,volume (Å³/atom),ΔH_f (0 K) (meV per atom)
1,24.85,-205
2,30.79,-10
3,33.10,105
4,26.99,-93
5,25.82,-276
6,32.30,39
7,29.18,46
8,31.94,103